Computed, not measured: a relaxed structure of Li2CeMgSn2 at the PBE level of DFT.

Summary:
volume	22.57	Å³/atom
DOS(E_F)	4.4	states/eV/f.u.
SG	P-3m1 (164)
total moment	0.061	μB/atom
ΔE_f	-0.4741	eV per atom

Unit cell a=4.6760 b=4.6760 c=7.1505 alpha=90.00 beta=90.00 gamma=120.00
Closest atoms and distances in Å follow each position.
Positions (direct):
Li1 0.3333 0.6667 0.3319  4 Sn 2.77-3.02, 3 Mg 2.96
Li2 0.6667 0.3333 0.6681  4 Sn 2.77-3.02, 3 Mg 2.96
Ce1 0.0000 0.0000 0.0000  6 Sn 3.22, 2 Mg 3.58, 6 Li 3.59
Mg1 0.0000 0.0000 0.5000  6 Li 2.96, 6 Sn 3.25
Sn1 0.3333 0.6667 0.7541  4 Li 2.77-3.02
Sn2 0.6667 0.3333 0.2459  4 Li 2.77-3.02